# 1
Zn2InAu | GGA-PBEsol | relaxed

Lattice parameters (Å, degrees): 4.0964 4.0964 8.1199 90.00 90.00 90.00
Space group I4/mmm (No. 139)
Unique sites:
Zn 0.0000 0.5000 0.2500 [4 per cell]
In 0.0000 0.0000 0.0000 [2 per cell]
Au 0.0000 0.0000 0.5000 [2 per cell]

Computed properties:
Energy of formation ... -0.02 eV/atom

=====

# 2
KTa2Os | GGA-PBEsol | relaxed

Lattice parameters (Å, degrees): 2.9369 3.8396 8.4349 90.00 90.00 90.00
Space group Pmmm (No. 47)
Unique sites:
K 0.0000 0.0000 0.0000 [1 per cell]
Ta 0.5000 0.5000 0.3521 [2 per cell]
Os 0.0000 0.0000 0.5000 [1 per cell]

Computed properties:
Energy of formation ... 0.67 eV/atom

=====

# 3
Mg2FeWO6 | GGA-PBEsol | relaxed

Lattice parameters (Å, degrees): 5.1228 5.1228 13.8363 90.00 90.00 120.00
Space group R3 (No. 146, hexagonal axes)
Unique sites:
Mg 0.0000 0.0000 0.0000 [3 per cell]
Mg 0.0000 0.0000 0.4993 [3 per cell]
Fe 0.0000 0.0000 0.2113 [3 per cell]
W 0.0000 0.0000 0.7045 [3 per cell]
O 0.0357 0.6977 0.7729 [9 per cell]
O 0.0453 0.3632 0.2775 [9 per cell]

Computed properties:
Formation energy without anion corrections ... -2142 meV/atom

=====

no.,volume (Å³/atom)
1,17.0
2,23.8
3,10.5